VASP calculation (GGA-PBE) on a geometry-optimized RbNa2AgSn structure.

CIF file:
```
data_RbNa2AgSn
_cell_length_a 5.838
_cell_length_b 5.838
_cell_length_c 5.278
_cell_angle_alpha 90.00
_cell_angle_beta 90.00
_cell_angle_gamma 90.00
_symmetry_space_group_name_H-M 'P 4/m m m'
_symmetry_Int_Tables_number 123
_symmetry_space_group_name_Hall '-P 4 2'
loop_
_atom_site_label
_atom_site_type_symbol
_atom_site_fract_x
_atom_site_fract_y
_atom_site_fract_z
Rb1 Rb 0.000 0.000 0.000
Na1 Na 0.000 0.500 0.500
Ag1 Ag 0.500 0.500 0.500
Sn1 Sn 0.500 0.500 0.000
```

Computed properties:
Calculated total energy   -10.6 eV/cell
ΔE_f   -0.03 eV/atom
E above lowest polymorph   4 kJ/mol of formula units
Crystal system   tetragonal

=====

VASP calculation (GGA-PBE) on a geometry-optimized RbNa2AgSn structure.

CIF file:
```
data_RbNa2AgSn
_cell_length_a 5.988
_cell_length_b 5.988
_cell_length_c 5.382
_cell_angle_alpha 90.00
_cell_angle_beta 90.00
_cell_angle_gamma 90.00
_symmetry_space_group_name_H-M 'P 4/m m m'
_symmetry_Int_Tables_number 123
_symmetry_space_group_name_Hall '-P 4 2'
loop_
_atom_site_label
_atom_site_type_symbol
_atom_site_fract_x
_atom_site_fract_y
_atom_site_fract_z
Rb1 Rb 0.000 0.000 0.000
Na1 Na 0.000 0.500 0.500
Ag1 Ag 0.500 0.500 0.000
Sn1 Sn 0.500 0.500 0.500
```

Computed properties:
Calculated total energy   -10.7 eV/cell
ΔE_f   -0.04 eV/atom
E above lowest polymorph   0 kJ/mol of formula units
Crystal system   tetragonal

=====

VASP calculation (GGA-PBE) on a geometry-optimized Rb2NaTaAg structure.

CIF file:
```
data_Rb2NaTaAg
_cell_length_a 6.851
_cell_length_b 6.851
_cell_length_c 6.044
_cell_angle_alpha 90.00
_cell_angle_beta 90.00
_cell_angle_gamma 90.00
_symmetry_space_group_name_H-M 'P 4/m m m'
_symmetry_Int_Tables_number 123
_symmetry_space_group_name_Hall '-P 4 2'
loop_
_atom_site_label
_atom_site_type_symbol
_atom_site_fract_x
_atom_site_fract_y
_atom_site_fract_z
Rb1 Rb 0.000 0.500 0.000
Na1 Na 0.000 0.000 0.500
Ta1 Ta 0.000 0.000 0.000
Ag1 Ag 0.500 0.500 0.500
```

Computed properties:
Calculated total energy   -10.8 eV/cell
ΔE_f   1.43 eV/atom
Crystal system   tetragonal

=====

VASP calculation (GGA-PBE) on a geometry-optimized RbNaAg2Te2 structure.

CIF file:
```
data_RbNaAg2Te2
_cell_length_a 4.8278
_cell_length_b 4.8278
_cell_length_c 9.1352
_cell_angle_alpha 90.00
_cell_angle_beta 90.00
_cell_angle_gamma 120.00
_symmetry_space_group_name_H-M 'P -3 m 1'
_symmetry_Int_Tables_number 164
_symmetry_space_group_name_Hall '-P 3 2"'
loop_
_atom_site_label
_atom_site_type_symbol
_atom_site_fract_x
_atom_site_fract_y
_atom_site_fract_z
Rb1 Rb 0.0000 0.0000 0.0000
Na1 Na 0.0000 0.0000 0.5000
Ag1 Ag 0.3333 0.6667 0.3155
Te1 Te 0.3333 0.6667 0.7191
```

Computed properties:
Calculated total energy   -17.9 eV/cell
Raw formation energy   -0.5971 eV per atom
Crystal system   trigonal

=====

VASP calculation (GGA-PBE) on a geometry-optimized RbNa2TlAg structure.

CIF file:
```
data_RbNa2TlAg
_cell_length_a 6.055
_cell_length_b 6.055
_cell_length_c 5.480
_cell_angle_alpha 90.00
_cell_angle_beta 90.00
_cell_angle_gamma 90.00
_symmetry_space_group_name_H-M 'P 4/m m m'
_symmetry_Int_Tables_number 123
_symmetry_space_group_name_Hall '-P 4 2'
loop_
_atom_site_label
_atom_site_type_symbol
_atom_site_fract_x
_atom_site_fract_y
_atom_site_fract_z
Rb1 Rb 0.000 0.000 0.000
Na1 Na 0.000 0.500 0.500
Tl1 Tl 0.500 0.500 0.500
Ag1 Ag 0.500 0.500 0.000
```

Computed properties:
Calculated total energy   -8.5 eV/cell
ΔE_f   0.07 eV/atom
E above lowest polymorph   22 kJ/mol of formula units
Crystal system   tetragonal

=====

VASP calculation (GGA-PBE) on a geometry-optimized RbNa2TlAg structure.

CIF file:
```
data_RbNa2TlAg
_cell_length_a 5.864
_cell_length_b 5.864
_cell_length_c 5.512
_cell_angle_alpha 90.00
_cell_angle_beta 90.00
_cell_angle_gamma 90.00
_symmetry_space_group_name_H-M 'P 4/m m m'
_symmetry_Int_Tables_number 123
_symmetry_space_group_name_Hall '-P 4 2'
loop_
_atom_site_label
_atom_site_type_symbol
_atom_site_fract_x
_atom_site_fract_y
_atom_site_fract_z
Rb1 Rb 0.000 0.000 0.000
Na1 Na 0.000 0.500 0.500
Tl1 Tl 0.500 0.500 0.000
Ag1 Ag 0.500 0.500 0.500
```

Computed properties:
Calculated total energy   -8.7 eV/cell
ΔE_f   0.02 eV/atom
E above lowest polymorph   0 kJ/mol of formula units
Crystal system   tetragonal

=====

VASP calculation (GGA-PBE) on a geometry-optimized RbNaTl2Ag structure.

CIF file:
```
data_RbNaTl2Ag
_cell_length_a 5.668
_cell_length_b 5.668
_cell_length_c 5.759
_cell_angle_alpha 90.00
_cell_angle_beta 90.00
_cell_angle_gamma 90.00
_symmetry_space_group_name_H-M 'P 4/m m m'
_symmetry_Int_Tables_number 123
_symmetry_space_group_name_Hall '-P 4 2'
loop_
_atom_site_label
_atom_site_type_symbol
_atom_site_fract_x
_atom_site_fract_y
_atom_site_fract_z
Rb1 Rb 0.000 0.000 0.000
Na1 Na 0.500 0.500 0.000
Tl1 Tl 0.000 0.500 0.500
Ag1 Ag 0.500 0.500 0.500
```

Computed properties:
Calculated total energy   -9.7 eV/cell
ΔE_f   0.04 eV/atom
Crystal system   tetragonal

=====

VASP calculation (GGA-PBE) on a geometry-optimized Rb2NaTl5Ag2 structure.

CIF file:
```
data_Rb2NaTl5Ag2
_cell_length_a 11.793
_cell_length_b 11.793
_cell_length_c 4.555
_cell_angle_alpha 90.00
_cell_angle_beta 90.00
_cell_angle_gamma 90.00
_symmetry_space_group_name_H-M 'P 4/m b m'
_symmetry_Int_Tables_number 127
_symmetry_space_group_name_Hall '-P 4 2ab'
loop_
_atom_site_label
_atom_site_type_symbol
_atom_site_fract_x
_atom_site_fract_y
_atom_site_fract_z
Rb1 Rb 0.177 0.323 0.000
Na1 Na 0.000 0.000 0.000
Tl1 Tl 0.000 0.500 0.500
Tl2 Tl 0.064 0.794 0.500
Ag1 Ag 0.119 0.619 0.000
```

Computed properties:
Calculated total energy   -41.4 eV/cell
ΔE_f   0.01 eV/atom
Crystal system   tetragonal

=====

VASP calculation (GGA-PBE) on a geometry-optimized RbNa2ZnAg structure.

CIF file:
```
data_RbNa2ZnAg
_cell_length_a 6.982
_cell_length_b 6.982
_cell_length_c 6.307
_cell_angle_alpha 90.00
_cell_angle_beta 90.00
_cell_angle_gamma 90.00
_symmetry_space_group_name_H-M 'P 4/m m m'
_symmetry_Int_Tables_number 123
_symmetry_space_group_name_Hall '-P 4 2'
loop_
_atom_site_label
_atom_site_type_symbol
_atom_site_fract_x
_atom_site_fract_y
_atom_site_fract_z
Rb1 Rb 0.000 0.000 0.000
Na1 Na 0.000 0.500 0.000
Zn1 Zn 0.500 0.500 0.500
Ag1 Ag 0.000 0.000 0.500
```

Computed properties:
Calculated total energy   -4.1 eV/cell
ΔE_f   0.73 eV/atom
E above lowest polymorph   319 kJ/mol of formula units
Crystal system   tetragonal

=====

VASP calculation (GGA-PBE) on a geometry-optimized RbNa2ZnAg structure.

CIF file:
```
data_RbNa2ZnAg
_cell_length_a 5.717
_cell_length_b 5.717
_cell_length_c 5.243
_cell_angle_alpha 90.00
_cell_angle_beta 90.00
_cell_angle_gamma 90.00
_symmetry_space_group_name_H-M 'P 4/m m m'
_symmetry_Int_Tables_number 123
_symmetry_space_group_name_Hall '-P 4 2'
loop_
_atom_site_label
_atom_site_type_symbol
_atom_site_fract_x
_atom_site_fract_y
_atom_site_fract_z
Rb1 Rb 0.000 0.000 0.000
Na1 Na 0.000 0.500 0.500
Zn1 Zn 0.500 0.500 0.500
Ag1 Ag 0.500 0.500 0.000
```

Computed properties:
Calculated total energy   -7.2 eV/cell
ΔE_f   0.11 eV/atom
E above lowest polymorph   18 kJ/mol of formula units
Crystal system   tetragonal

=====

VASP calculation (GGA-PBE) on a geometry-optimized RbNaZn2Ag structure.

CIF file:
```
data_RbNaZn2Ag
_cell_length_a 5.171
_cell_length_b 5.171
_cell_length_c 5.663
_cell_angle_alpha 90.00
_cell_angle_beta 90.00
_cell_angle_gamma 90.00
_symmetry_space_group_name_H-M 'P 4/m m m'
_symmetry_Int_Tables_number 123
_symmetry_space_group_name_Hall '-P 4 2'
loop_
_atom_site_label
_atom_site_type_symbol
_atom_site_fract_x
_atom_site_fract_y
_atom_site_fract_z
Rb1 Rb 0.000 0.000 0.000
Na1 Na 0.500 0.500 0.000
Zn1 Zn 0.000 0.500 0.500
Ag1 Ag 0.500 0.500 0.500
```

Computed properties:
Calculated total energy   -7.2 eV/cell
ΔE_f   0.10 eV/atom
Crystal system   tetragonal

=====

VASP calculation (GGA-PBE) on a geometry-optimized RbNa2ZnAg structure.

CIF file:
```
data_RbNa2ZnAg
_cell_length_a 5.780
_cell_length_b 5.780
_cell_length_c 5.219
_cell_angle_alpha 90.00
_cell_angle_beta 90.00
_cell_angle_gamma 90.00
_symmetry_space_group_name_H-M 'P 4/m m m'
_symmetry_Int_Tables_number 123
_symmetry_space_group_name_Hall '-P 4 2'
loop_
_atom_site_label
_atom_site_type_symbol
_atom_site_fract_x
_atom_site_fract_y
_atom_site_fract_z
Rb1 Rb 0.000 0.000 0.000
Na1 Na 0.000 0.500 0.500
Zn1 Zn 0.500 0.500 0.000
Ag1 Ag 0.500 0.500 0.500
```

Computed properties:
Calculated total energy   -7.4 eV/cell
ΔE_f   0.07 eV/atom
E above lowest polymorph   0 kJ/mol of formula units
Crystal system   tetragonal